DFT (SCAN) results for a crystal of Li4Bi2O5 relaxed with PBEsol.

a b c (Å): 13.6131 4.5534 8.7595
angles (deg): 90.00 90.00 90.00
Last column: nearest neighbours and their distance in Å.
Atoms (fractional coordinates):
Li (0.0086, 0.0574, 0.1382)  4 O 1.91-2.13
Li (0.0086, 0.4426, 0.3618)  4 O 1.91-2.13
Li (0.1274, 0.7500, 0.2500)  2 O 1.97
Li (0.2500, 0.0000, 0.1149)  5 O 2.05-2.29
Li (0.2500, 0.5000, 0.3851)  5 O 2.05-2.29
Li (0.3726, 0.2500, 0.2500)  2 O 1.97
Li (0.4914, 0.5574, 0.3618)  4 O 1.91-2.13
Li (0.4914, 0.9426, 0.1382)  4 O 1.91-2.13
Li (0.5086, 0.0574, 0.8618)  4 O 1.91-2.13
Li (0.5086, 0.4426, 0.6382)  4 O 1.91-2.13
Li (0.6274, 0.7500, 0.7500)  2 O 1.97
Li (0.7500, 0.0000, 0.8851)  5 O 2.05-2.29
Li (0.7500, 0.5000, 0.6149)  5 O 2.05-2.29
Li (0.8726, 0.2500, 0.7500)  2 O 1.97
Li (0.9914, 0.5574, 0.6382)  4 O 1.91-2.13
Li (0.9914, 0.9426, 0.8618)  4 O 1.91-2.13
Bi (0.1276, 0.0318, 0.5419)  5 O 2.13-2.37
Bi (0.1276, 0.4682, 0.9581)  5 O 2.13-2.37
Bi (0.3724, 0.5318, 0.9581)  5 O 2.13-2.37
Bi (0.3724, 0.9682, 0.5419)  5 O 2.13-2.37
Bi (0.6276, 0.0318, 0.4581)  5 O 2.13-2.37
Bi (0.6276, 0.4682, 0.0419)  5 O 2.13-2.37
Bi (0.8724, 0.5318, 0.0419)  5 O 2.13-2.37
Bi (0.8724, 0.9682, 0.4581)  5 O 2.13-2.37
O (0.0300, 0.0039, 0.3518)  3 Li 1.91-2.02, 1 Bi 2.13
O (0.0300, 0.4961, 0.1482)  3 Li 1.91-2.02, 1 Bi 2.13
O (0.1182, 0.5201, 0.4968)  3 Li 1.94-2.13
O (0.1182, 0.9799, 0.0032)  3 Li 1.94-2.13
O (0.2500, 0.0000, 0.3605)  5 Li 2.15-2.29, 2 Bi 2.31
O (0.2500, 0.5000, 0.1395)  5 Li 2.15-2.29, 2 Bi 2.31
O (0.3818, 0.0201, 0.0032)  3 Li 1.94-2.13
O (0.3818, 0.4799, 0.4968)  3 Li 1.94-2.13
O (0.4700, 0.5039, 0.1482)  3 Li 1.91-2.02, 1 Bi 2.13
O (0.4700, 0.9961, 0.3518)  3 Li 1.91-2.02, 1 Bi 2.13
O (0.5300, 0.0039, 0.6482)  3 Li 1.91-2.02, 1 Bi 2.13
O (0.5300, 0.4961, 0.8518)  3 Li 1.91-2.02, 1 Bi 2.13
O (0.6182, 0.5201, 0.5032)  3 Li 1.94-2.13
O (0.6182, 0.9799, 0.9968)  3 Li 1.94-2.13
O (0.7500, 0.0000, 0.6395)  5 Li 2.15-2.29, 2 Bi 2.31
O (0.7500, 0.5000, 0.8605)  5 Li 2.15-2.29, 2 Bi 2.31
O (0.8818, 0.0201, 0.9968)  3 Li 1.94-2.13
O (0.8818, 0.4799, 0.5032)  3 Li 1.94-2.13
O (0.9700, 0.5039, 0.8518)  3 Li 1.91-2.02, 1 Bi 2.13
O (0.9700, 0.9961, 0.6482)  3 Li 1.91-2.02, 1 Bi 2.13

Its density of states at the Fermi level is 0.0 states/eV per cell. The raw formation energy comes out at -1.609 eV/atom.